Entry from the Alexandria database: crystalline Y2Cr2Ga at its relaxed geometry (PBEsol).

abc: 4.5317 4.5317 6.2492
angles: 111.26 111.26 90.00
Element x y z (fractional)
Y  0.7500  0.2500  0.5000
Ga  0.0000  0.0000  0.0000
Cr  0.5821  0.5821  0.1642
Cr  0.4179  0.4179  0.8358
Y  0.2500  0.7500  0.5000

Properties
energy relative to the elements = 887 meV per atom
total energy = -6.61 eV/atom